This record from Alexandria describes a relaxed NpSc2CrO8 crystal. The functional is PBE+U.

Calculated values
Its uncorrected energy is -8.848 eV/atom. The calculation puts the magnetic moment at 3.06 μB per formula unit. As for the density: 5.62 g/cm3.

Unit cell a=4.8334 b=4.8308 c=6.4139 alpha=90.00 beta=90.00 gamma=91.93
Site moments in Bohr magnetons follow the coordinates.
Fractional coordinates of all 12 atoms:
Sc: 0.5000 0.5000 0.7306  0.02
O: 0.7014 0.7023 0.5000  -0.01
O: 0.2986 0.2977 0.5000  -0.01
Sc: 0.5000 0.5000 0.2694  0.02
O: 0.1852 0.8136 0.7526  -0.03
O: 0.7013 0.7026 0.0000  -0.01
O: 0.8148 0.1864 0.7526  -0.03
O: 0.8148 0.1864 0.2474  -0.03
Cr: 0.0000 0.0000 0.5000  2.94
Np: 0.0000 0.0000 0.0000  0.18
O: 0.2987 0.2974 0.0000  -0.01
O: 0.1852 0.8136 0.2474  -0.03